This record from Alexandria describes a crystal of La3FeBi relaxed with PBEsol. The functional is meta-GGA SCAN.

```
La3FeBi
1.0
5.186 0.000 0.000
0.000 5.186 0.000
0.000 0.000 5.186
Fe Bi La
1 1 3
Cartesian
0.000 0.000 0.000
2.593 2.593 2.593
0.000 2.593 0.000
0.000 0.000 2.593
2.593 0.000 0.000
```

Results
Theoretical density = 8.12 g/cm³
Calculated formation energy = -0.464 eV/atom
Raw total energy = -228.35 eV/f.u.
N(E_F) = 3.2 states/eV/f.u.